# 1
Entry from the Alexandria database: an optimized crystal structure of CdInHg2 (GGA-PBE).

The structure belongs to space group Imm2 (No. 44); the cell edges are 4.542, 4.555 and 9.844 Å and the angles 90.00°, 90.00° and 90.00°. The asymmetric unit holds Cd at (0.000, 0.000, 0.000), In at (0.000, 0.500, 0.250), Hg at (0.000, 0.000, 0.500) and Hg at (0.000, 0.500, 0.750).

The total energy comes out at -8.39 eV for the cell shown. The formation energy is 0.0153 eV/atom.

***

# 2
Entry from the Alexandria database: an optimized crystal structure of LaYW2 (GGA-PBE).

The structure belongs to space group R-3m (No. 166, hexagonal axes); the cell edges are 3.0596, 3.0596 and 32.3558 Å and the angles 90.00°, 90.00° and 120.00°. The asymmetric unit holds La at (0.0000, 0.0000, 0.0000), Y at (0.0000, 0.0000, 0.5000) and W at (0.0000, 0.0000, 0.2462).

As for the offset from the most stable computed form: 0.6991 eV per atom. The total energy comes out at -100.03 eV for the cell shown. The formation energy is 0.9889 eV/atom.

***

# 3
Entry from the Alexandria database: an optimized crystal structure of TbPaPt2 (GGA-PBE).

The structure belongs to space group P2_1/m (No. 11); the cell edges are 5.796, 4.352 and 7.577 Å and the angles 90.00°, 109.35° and 90.00°. The asymmetric unit holds Tb at (0.215, 0.250, 0.178), Pa at (0.234, 0.250, 0.684), Pt at (0.303, 0.750, 0.457) and Pt at (0.319, 0.750, 0.947).

As for the offset from the most stable computed form: 0.0000 eV per atom. The total energy comes out at -61.37 eV for the cell shown. The formation energy is -1.1197 eV/atom.

***

# 4
Entry from the Alexandria database: an optimized crystal structure of PrCoSi3Rh (GGA-PBE).

The structure belongs to space group Cmcm (No. 63); the cell edges are 6.216, 12.060 and 5.844 Å and the angles 90.00°, 90.00° and 90.00°. The asymmetric unit holds Pr at (0.000, 0.238, 0.250), Co at (0.000, 0.403, 0.750), Si at (0.000, 0.231, 0.750), Si at (0.203, 0.500, 0.000) and Rh at (0.000, 0.048, 0.750).

Its formation energy (no corrections) is -0.545 eV/atom. The total energy comes out at -155.11 eV for the cell shown.